Entry 1:
The following is a DFT calculation (GGA-PBE) of an optimized crystal structure of TlInSe4.

Computed properties:
V: 25.42 Å³ per atom
final energy: -18.391 eV per cell
DOS(E_F): 1.16 states/eV/cell

a = 5.9973 Å, b = 5.9973 Å, c = 5.9973 Å
α = 60.00°, β = 60.00°, γ = 60.00°
With the nearest neighbours (Å) after each atom.
Positions (direct):
Se (0.8759, 0.3747, 0.3747)  6 Se 2.99-3.01
Se (0.3747, 0.8759, 0.3747)  6 Se 2.99-3.01
Se (0.3747, 0.3747, 0.8759)  6 Se 2.99-3.01
Se (0.3747, 0.3747, 0.3747)  6 Se 2.99-3.01
In (0.0000, 0.0000, 0.0000)  12 Se 3.52, 4 Tl 3.67
Tl (0.7500, 0.7500, 0.7500)  12 Se 3.52, 4 In 3.67

Entry 2:
The following is a DFT calculation (GGA-PBE) of an optimized crystal structure of YCuAu2.

Computed properties:
energy above the lowest structure with this stoichiometry: 491 meV/atom
V: 21.35 Å³ per atom
formation energy: -0.1045 eV per atom
DOS(E_F): 1.34 states/eV/cell

a = 6.1884 Å, b = 6.1884 Å, c = 6.1884 Å
α = 53.36°, β = 143.00°, γ = 142.95°
With the nearest neighbours (Å) after each atom.
Positions (direct):
Y (0.0000, 0.5000, 0.5000)  4 Cu 2.78, 2 Au 3.05
Au (0.0000, 0.7754, 0.7754)  1 Cu 2.48
Au (0.0000, 0.2246, 0.2246)  1 Cu 2.48
Cu (0.0000, 0.0000, 0.0000)  2 Au 2.48, 4 Y 2.78

Entry 3:
The following is a DFT calculation (GGA-PBE) of an optimized crystal structure of LaNd2O.

Computed properties:
energy above the lowest structure with this stoichiometry: 363 meV/atom
V: 24.98 Å³ per atom
DOS(E_F): 5.10 states/eV/cell

a = 3.2620 Å, b = 3.2620 Å, c = 9.3910 Å
α = 90.00°, β = 90.00°, γ = 90.00°
With the nearest neighbours (Å) after each atom.
Positions (direct):
La (0.5000, 0.5000, 0.5000)  4 La 3.26
Nd (0.0000, 0.0000, 0.1670)  4 O 2.79
Nd (0.0000, 0.0000, 0.8330)  4 O 2.79
O (0.5000, 0.5000, 0.0000)  8 Nd 2.79

Entry 4:
The following is a DFT calculation (GGA-PBE) of an optimized crystal structure of Sr2CaInP.

Computed properties:
V: 37.58 Å³ per atom
formation energy: -0.5947 eV per atom
DOS(E_F): 5.16 states/eV/cell

a = 5.8718 Å, b = 5.8718 Å, c = 5.4502 Å
α = 90.00°, β = 90.00°, γ = 90.00°
With the nearest neighbours (Å) after each atom.
Positions (direct):
In (0.5000, 0.5000, 0.5000)  8 Sr 4.01, 4 Ca 4.15
Sr (0.0000, 0.5000, 0.0000)  2 P 2.94
Sr (0.5000, 0.0000, 0.0000)  2 P 2.94
Ca (0.0000, 0.0000, 0.5000)  2 P 2.73
P (0.0000, 0.0000, 0.0000)  2 Ca 2.73, 4 Sr 2.94

Entry 5:
The following is a DFT calculation (GGA-PBE) of an optimized crystal structure of V2ZnGa.

Computed properties:
V: 14.08 Å³ per atom
formation energy: 0.0253 eV per atom
DOS(E_F): 3.69 states/eV/cell

a = 3.2650 Å, b = 3.2650 Å, c = 5.2825 Å
α = 90.00°, β = 90.00°, γ = 90.00°
With the nearest neighbours (Å) after each atom.
Positions (direct):
V (0.0000, 0.0000, 0.7641)  2 V 2.49-2.79, 4 Ga 2.62, 4 Zn 2.70
V (0.0000, 0.0000, 0.2359)  2 V 2.49-2.79, 4 Ga 2.62, 4 Zn 2.70
Ga (0.5000, 0.5000, 0.0000)  8 V 2.62, 2 Zn 2.64
Zn (0.5000, 0.5000, 0.5000)  2 Ga 2.64, 8 V 2.70

Entry 6:
The following is a DFT calculation (GGA-PBE) of an optimized crystal structure of GdUSb2.

Computed properties:
energy above the lowest structure with this stoichiometry: 7 meV/atom
V: 26.76 Å³ per atom
DOS(E_F): 5.08 states/eV/cell

a = 5.3298 Å, b = 5.3298 Å, c = 5.3298 Å
α = 60.00°, β = 60.00°, γ = 60.00°
With the nearest neighbours (Å) after each atom.
Positions (direct):
Sb (0.7500, 0.7500, 0.7500)  4 Gd 3.26, 4 U 3.26
Sb (0.2500, 0.2500, 0.2500)  4 U 3.26, 4 Gd 3.26
U (0.5000, 0.5000, 0.5000)  8 Sb 3.26
Gd (0.0000, 0.0000, 0.0000)  8 Sb 3.26

Entry 7:
The following is a DFT calculation (GGA-PBE) of an optimized crystal structure of CaTb2Sn9.

Computed properties:
V: 26.54 Å³ per atom
formation energy: -0.4246 eV per atom
DOS(E_F): 4.95 states/eV/cell

a = 4.8055 Å, b = 4.8055 Å, c = 13.7898 Å
α = 90.00°, β = 90.00°, γ = 90.00°
With the nearest neighbours (Å) after each atom.
Positions (direct):
Sn (0.5000, 0.0000, 0.8317)  8 Sn 3.31-3.40, 2 Tb 3.34, 2 Ca 3.34
Sn (0.5000, 0.5000, 0.6663)  8 Sn 3.31-3.32, 4 Tb 3.40
Sn (0.5000, 0.0000, 0.5000)  4 Tb 3.29, 8 Sn 3.32-3.40
Sn (0.0000, 0.5000, 0.8317)  8 Sn 3.31-3.40, 2 Tb 3.34, 2 Ca 3.34
Sn (0.5000, 0.5000, 0.3337)  8 Sn 3.31-3.32, 4 Tb 3.40
Sn (0.0000, 0.5000, 0.1683)  8 Sn 3.31-3.40, 2 Tb 3.34, 2 Ca 3.34
Sn (0.0000, 0.5000, 0.5000)  4 Tb 3.29, 8 Sn 3.32-3.40
Sn (0.5000, 0.0000, 0.1683)  8 Sn 3.31-3.40, 2 Tb 3.34, 2 Ca 3.34
Sn (0.5000, 0.5000, 0.0000)  8 Sn 3.34, 4 Ca 3.40
Ca (0.0000, 0.0000, 0.0000)  12 Sn 3.34-3.40
Tb (0.0000, 0.0000, 0.3365)  12 Sn 3.29-3.40
Tb (0.0000, 0.0000, 0.6635)  12 Sn 3.29-3.40

Entry 8:
The following is a DFT calculation (GGA-PBE) of an optimized crystal structure of SrCd3In.

Computed properties:
energy above the lowest structure with this stoichiometry: 15 meV/atom
V: 27.72 Å³ per atom
formation energy: -0.2496 eV per atom
DOS(E_F): 9.52 states/eV/cell

a = 6.4679 Å, b = 6.4673 Å, c = 13.2548 Å
α = 90.00°, β = 90.00°, γ = 90.00°
With the nearest neighbours (Å) after each atom.
Positions (direct):
Cd (0.2500, 0.7500, 0.0004)  4 Cd 2.97, 4 In 3.23
Cd (0.2500, 0.2500, 0.4996)  4 Cd 2.97, 4 In 3.23
Cd (0.0002, 0.4995, 0.6433)  3 Cd 2.83-2.97, 2 In 2.97
Cd (0.7500, 0.2500, 0.9996)  4 Cd 2.97, 4 In 3.23
Cd (0.7500, 0.7500, 0.5004)  4 Cd 2.97, 4 In 3.23
Cd (0.5002, 0.0005, 0.1433)  3 Cd 2.83-2.97, 2 In 2.97
Cd (0.4998, 0.0005, 0.6433)  3 Cd 2.83-2.97, 2 In 2.97
Cd (0.9998, 0.4995, 0.1433)  3 Cd 2.83-2.97, 2 In 2.97
Cd (0.5002, 0.9995, 0.3567)  3 Cd 2.83-2.97, 2 In 2.97
Cd (0.0002, 0.5005, 0.8567)  3 Cd 2.83-2.97, 2 In 2.97
Cd (0.9998, 0.5005, 0.3567)  3 Cd 2.83-2.97, 2 In 2.97
Cd (0.4998, 0.9995, 0.8567)  3 Cd 2.83-2.97, 2 In 2.97
In (0.7500, 0.7500, 0.0002)  8 Cd 2.97-3.23
In (0.2500, 0.2500, 0.9998)  8 Cd 2.97-3.23
In (0.2500, 0.7500, 0.5002)  8 Cd 2.97-3.23
In (0.7500, 0.2500, 0.4998)  8 Cd 2.97-3.23
Sr (0.5002, 0.5000, 0.7500)  8 Cd 3.53
Sr (0.4998, 0.5000, 0.2500)  8 Cd 3.53
Sr (0.9998, 0.0000, 0.7500)  8 Cd 3.53
Sr (0.0002, 0.0000, 0.2500)  8 Cd 3.53

Entry 9:
The following is a DFT calculation (GGA-PBE) of an optimized crystal structure of InRu2Rh.

Computed properties:
V: 15.52 Å³ per atom
formation energy: 0.1153 eV per atom
DOS(E_F): 5.08 states/eV/cell

a = 4.8246 Å, b = 4.8246 Å, c = 4.8290 Å
α = 79.79°, β = 79.79°, γ = 34.20°
With the nearest neighbours (Å) after each atom.
Positions (direct):
In (0.7500, 0.7500, 0.7500)  6 Ru 2.80-2.87, 4 Rh 2.80, 2 In 2.84
Ru (0.5080, 0.5080, 0.4756)  4 Ru 2.63-2.84, 3 Rh 2.70-2.79, 3 In 2.80-2.87
Ru (0.9920, 0.9920, 0.0244)  4 Ru 2.63-2.84, 3 Rh 2.70-2.79, 3 In 2.80-2.87
Rh (0.2500, 0.2500, 0.2500)  6 Ru 2.70-2.79, 4 In 2.80, 2 Rh 2.84

Entry 10:
The following is a DFT calculation (GGA-PBE) of an optimized crystal structure of Ca2YPb.

Computed properties:
V: 33.21 Å³ per atom
formation energy: -0.1474 eV per atom
DOS(E_F): 3.72 states/eV/cell

a = 6.2234 Å, b = 6.2234 Å, c = 3.7101 Å
α = 90.00°, β = 90.00°, γ = 112.41°
With the nearest neighbours (Å) after each atom.
Positions (direct):
Ca (0.5000, 0.5000, 0.0000)  4 Ca 3.46-3.71, 4 Y 3.62, 4 Pb 3.62
Ca (0.0000, 0.0000, 0.0000)  4 Ca 3.46-3.71, 4 Pb 3.62, 4 Y 3.62
Y (0.0000, 0.5000, 0.5000)  2 Pb 3.46, 8 Ca 3.62, 2 Y 3.71
Pb (0.5000, 0.0000, 0.5000)  2 Y 3.46, 8 Ca 3.62, 2 Pb 3.71

Entry 11:
The following is a DFT calculation (GGA-PBE) of an optimized crystal structure of NbO2F2.

Computed properties:
V: 10.22 Å³ per atom
final energy: -23.059 eV per cell
DOS(E_F): 4.14 states/eV/cell

a = 3.5893 Å, b = 3.5893 Å, c = 3.9658 Å
α = 90.00°, β = 90.00°, γ = 90.00°
With the nearest neighbours (Å) after each atom.
Positions (direct):
Nb (0.5000, 0.5000, 0.5000)  4 F 2.54, 8 O 2.67
O (0.5000, 0.0000, 0.0000)  2 F 1.79
O (0.0000, 0.5000, 0.0000)  2 F 1.79
F (0.0000, 0.0000, 0.5000)  2 F 1.98
F (0.0000, 0.0000, 0.0000)  4 O 1.79, 2 F 1.98

Entry 12:
The following is a DFT calculation (GGA-PBE) of an optimized crystal structure of TbMnAgRh.

Computed properties:
V: 18.87 Å³ per atom
formation energy: -0.1903 eV per atom
DOS(E_F): 3.09 states/eV/cell

a = 4.7440 Å, b = 4.7440 Å, c = 4.7440 Å
α = 60.00°, β = 60.00°, γ = 60.00°
With the nearest neighbours (Å) after each atom.
Positions (direct):
Rh (0.2500, 0.2500, 0.2500)  4 Tb 2.91, 4 Mn 2.91
Ag (0.7500, 0.7500, 0.7500)  4 Mn 2.91, 4 Tb 2.91
Tb (0.0000, 0.0000, 0.0000)  4 Rh 2.91, 4 Ag 2.91
Mn (0.5000, 0.5000, 0.5000)  4 Ag 2.91, 4 Rh 2.91